Compound: MnF3
Source: the Alexandria database
Functional: GGA+U
Structure: optimized geometry

Results
SG   No. 14
Volume   212.9 Å³/cell
Calculated total energy   -0.2082 hartree per atom

Unit cell a=4.8123 b=4.8620 c=10.0499 alpha=90.00 beta=115.11 gamma=90.00
With the nearest neighbours (Å) after each atom.
Element x y z (fractional)
Mn 0.1754 0.0045 0.1735  4 F 1.87-1.96
Mn 0.1754 0.4955 0.6735  4 F 1.87-1.96
Mn 0.8246 0.5045 0.3265  4 F 1.87-1.96
Mn 0.8246 0.9955 0.8265  4 F 1.87-1.96
F 0.0848 0.2042 0.3153  2 Mn 1.92-1.96
F 0.0848 0.2958 0.8153  2 Mn 1.92-1.96
F 0.2090 0.6709 0.5151  1 Mn 1.87
F 0.2090 0.8291 0.0151  1 Mn 1.87
F 0.4435 0.2157 0.6749  1 Mn 1.87
F 0.4435 0.2843 0.1749  1 Mn 1.87
F 0.5565 0.7157 0.8251  1 Mn 1.87
F 0.5565 0.7843 0.3251  1 Mn 1.87
F 0.7910 0.1709 0.9849  1 Mn 1.87
F 0.7910 0.3291 0.4849  1 Mn 1.87
F 0.9152 0.7042 0.1847  2 Mn 1.92-1.96
F 0.9152 0.7958 0.6847  2 Mn 1.92-1.96